[1]
Below is an optimized crystal structure of V3PdS6, with properties calculated at the GGA-PBE level.

Structure (POSCAR):
```
V3PdS6
1.0
4.603 -5.906 0.000
4.603 5.906 0.000
0.000 0.000 6.251
V Pd S
6 2 12
direct
0.092 0.908 0.500
0.176 0.420 0.587
0.420 0.176 0.087
0.580 0.824 0.587
0.824 0.580 0.087
0.908 0.092 0.000
0.213 0.787 0.105
0.787 0.213 0.605
0.033 0.599 0.367
0.141 0.197 0.285
0.197 0.141 0.785
0.266 0.734 0.735
0.401 0.967 0.367
0.487 0.513 0.535
0.513 0.487 0.035
0.599 0.033 0.867
0.734 0.266 0.235
0.803 0.859 0.285
0.859 0.803 0.785
0.967 0.401 0.867
```

Computed properties:
SG: Cmc2_1, No. 36
Energy relative to the elements, uncorrected, eV/atom: -0.605
Final energy, eV per cell: -126.7
Crystal system: orthorhombic

***

[2]
Below is an optimized crystal structure of Li2TlInSn, with properties calculated at the GGA-PBE level.

Structure (POSCAR):
```
Li2TlInSn
1.0
3.228 0.000 0.000
0.000 6.051 0.000
0.000 0.000 11.930
Li Tl In Sn
4 2 2 2
direct
0.250 0.007 0.194
0.250 0.493 0.194
0.750 0.507 0.806
0.750 0.993 0.806
0.250 0.750 0.986
0.750 0.250 0.014
0.250 0.750 0.640
0.750 0.250 0.360
0.250 0.750 0.395
0.750 0.250 0.605
```

Computed properties:
SG: Pmmn, No. 59
Final energy, eV per cell: -27.1
Crystal system: orthorhombic

***

[3]
Below is an optimized crystal structure of Be2Nb2Mo, with properties calculated at the GGA-PBE level.

Structure (POSCAR):
```
Be2Nb2Mo
1.0
6.425 0.000 0.000
0.000 6.425 0.000
0.000 0.000 3.330
Be Nb Mo
4 4 2
direct
0.116 0.384 0.000
0.384 0.884 0.000
0.616 0.116 0.000
0.884 0.616 0.000
0.180 0.680 0.500
0.320 0.180 0.500
0.680 0.820 0.500
0.820 0.320 0.500
0.000 0.000 0.000
0.500 0.500 0.000
```

Computed properties:
SG: P4/mbm, No. 127
Final energy, eV per cell: -79.0
Crystal system: tetragonal

***

[4]
Below is an optimized crystal structure of Ac2HoMg16, with properties calculated at the GGA-PBE level.

Structure (POSCAR):
```
Ac2HoMg16
1.0
5.276 3.046 5.160
-5.276 3.046 5.160
0.000 -6.093 5.160
Ac Ho Mg
2 1 16
direct
0.000 0.000 0.000
0.326 0.326 0.326
0.566 0.566 0.566
0.011 0.011 0.499
0.011 0.499 0.011
0.155 0.661 0.661
0.309 0.309 0.812
0.309 0.812 0.309
0.363 0.660 0.955
0.363 0.955 0.660
0.499 0.011 0.011
0.660 0.363 0.955
0.660 0.955 0.363
0.661 0.155 0.661
0.661 0.661 0.155
0.770 0.770 0.770
0.812 0.309 0.309
0.955 0.363 0.660
0.955 0.660 0.363
```

Computed properties:
SG: R3m, No. 160
Final energy, eV per cell: -39.5
Crystal system: trigonal

***

[5]
Below is an optimized crystal structure of Dy2SeBr, with properties calculated at the GGA-PBE level.

Structure (POSCAR):
```
Dy2SeBr
1.0
1.952 1.127 7.776
-1.952 1.127 7.776
0.000 -2.254 7.776
Dy Se Br
2 1 1
direct
0.236 0.236 0.236
0.764 0.764 0.764
0.500 0.500 0.500
0.000 0.000 0.000
```

Computed properties:
SG: R-3m, No. 166
Energy relative to the elements, uncorrected, eV/atom: -1.300
Final energy, eV per cell: -19.6
Crystal system: trigonal

***

[6]
Below is an optimized crystal structure of P2O2F3, with properties calculated at the GGA-PBE level.

Structure (POSCAR):
```
P2O2F3
1.0
13.279 0.000 0.000
-6.640 11.500 0.000
0.000 0.000 9.529
P O F
24 24 36
direct
0.000 0.000 0.000
0.000 0.000 0.500
0.060 0.210 0.679
0.060 0.849 0.179
0.118 0.555 0.435
0.118 0.562 0.935
0.151 0.210 0.179
0.151 0.940 0.679
0.333 0.667 0.115
0.333 0.667 0.615
0.438 0.555 0.935
0.438 0.882 0.435
0.445 0.562 0.435
0.445 0.882 0.935
0.451 0.214 0.877
0.451 0.237 0.377
0.667 0.333 0.060
0.667 0.333 0.560
0.763 0.214 0.377
0.763 0.549 0.877
0.786 0.237 0.877
0.786 0.549 0.377
0.790 0.849 0.679
0.790 0.940 0.179
0.000 0.000 0.345
0.000 0.000 0.845
0.049 0.126 0.063
0.049 0.923 0.563
0.077 0.126 0.563
0.077 0.951 0.063
0.215 0.568 0.052
0.215 0.647 0.552
0.333 0.667 0.270
0.333 0.667 0.770
0.353 0.568 0.552
0.353 0.785 0.052
0.432 0.647 0.052
0.432 0.785 0.552
0.545 0.241 0.497
0.545 0.303 0.997
0.667 0.333 0.215
0.667 0.333 0.715
0.697 0.241 0.997
0.697 0.455 0.497
0.759 0.303 0.497
0.759 0.455 0.997
0.874 0.923 0.063
0.874 0.951 0.563
0.008 0.495 0.038
0.008 0.513 0.538
0.073 0.253 0.259
0.073 0.820 0.759
0.100 0.449 0.854
0.100 0.651 0.354
0.105 0.321 0.577
0.105 0.784 0.077
0.180 0.253 0.759
0.180 0.927 0.259
0.216 0.321 0.077
0.216 0.895 0.577
0.339 0.167 0.977
0.339 0.172 0.477
0.349 0.449 0.354
0.349 0.900 0.854
0.434 0.123 0.298
0.434 0.310 0.798
0.487 0.495 0.538
0.487 0.992 0.038
0.505 0.513 0.038
0.505 0.992 0.538
0.551 0.651 0.854
0.551 0.900 0.354
0.679 0.784 0.577
0.679 0.895 0.077
0.690 0.123 0.798
0.690 0.566 0.298
0.747 0.820 0.259
0.747 0.927 0.759
0.828 0.167 0.477
0.828 0.661 0.977
0.833 0.172 0.977
0.833 0.661 0.477
0.877 0.310 0.298
0.877 0.566 0.798
```

Computed properties:
SG: P3c1, No. 158
Energy relative to the elements, uncorrected, eV/atom: -2.125
Final energy, eV per cell: -494.7
Crystal system: trigonal

***

[7]
Below is an optimized crystal structure of YB5Rh7, with properties calculated at the GGA-PBE level.

Structure (POSCAR):
```
YB5Rh7
1.0
-2.463 4.154 3.867
2.463 -4.154 3.867
2.463 4.154 -3.867
Y B Rh
1 5 7
direct
0.000 0.000 0.000
0.007 0.565 0.076
0.007 0.931 0.442
0.489 0.565 0.558
0.489 0.931 0.924
0.796 0.296 0.500
0.157 0.452 0.706
0.254 0.754 0.500
0.333 0.333 0.000
0.423 0.089 0.334
0.667 0.667 0.000
0.746 0.452 0.294
0.755 0.089 0.666
```

Computed properties:
SG: Imm2, No. 44
Final energy, eV per cell: -94.0
Crystal system: orthorhombic

***

[8]
Below is an optimized crystal structure of NaCuTe2N, with properties calculated at the GGA-PBE level.

Structure (POSCAR):
```
NaCuTe2N
1.0
5.538 0.000 0.000
0.000 5.538 0.000
0.000 0.000 4.263
Na Cu Te N
1 1 2 1
direct
0.000 0.000 0.000
0.500 0.500 0.500
0.000 0.500 0.000
0.500 0.000 0.000
0.000 0.000 0.500
```

Computed properties:
SG: P4/mmm, No. 123
Energy relative to the elements, uncorrected, eV/atom: 1.419
Final energy, eV per cell: -12.9
Crystal system: tetragonal

***

[9]
Below is an optimized crystal structure of Sc2AlAg2, with properties calculated at the GGA-PBE level.

Structure (POSCAR):
```
Sc2AlAg2
1.0
7.847 0.000 0.000
0.000 7.847 0.000
0.000 0.000 3.421
Sc Al Ag
4 2 4
direct
0.160 0.340 0.000
0.340 0.840 0.000
0.660 0.160 0.000
0.840 0.660 0.000
0.000 0.000 0.000
0.500 0.500 0.000
0.135 0.635 0.500
0.365 0.135 0.500
0.635 0.865 0.500
0.865 0.365 0.500
```

Computed properties:
SG: P4/mbm, No. 127
Final energy, eV per cell: -44.5
Crystal system: tetragonal

***

[10]
Below is an optimized crystal structure of TcIr6Os2, with properties calculated at the GGA-PBE level.

Structure (POSCAR):
```
TcIr6Os2
1.0
2.627 1.517 6.212
-2.627 1.517 6.212
0.000 -3.034 6.212
Tc Ir Os
1 6 2
direct
0.000 0.000 0.000
0.067 0.067 0.553
0.067 0.553 0.067
0.282 0.282 0.764
0.282 0.764 0.282
0.553 0.067 0.067
0.764 0.282 0.282
0.611 0.611 0.611
0.736 0.736 0.736
```

Computed properties:
SG: R3m, No. 160
Final energy, eV per cell: -81.9
Crystal system: trigonal

***

[11]
Below is an optimized crystal structure of Tm2Si4Rh5, with properties calculated at the GGA-PBE level.

Structure (POSCAR):
```
Tm2Si4Rh5
1.0
0.000 4.716 6.978
2.790 0.000 6.978
2.790 4.716 0.000
Tm Si Rh
2 4 5
direct
0.127 0.127 0.873
0.873 0.873 0.127
0.216 0.518 0.482
0.482 0.784 0.216
0.518 0.216 0.784
0.784 0.482 0.518
0.000 0.000 0.500
0.250 0.250 0.250
0.500 0.500 0.000
0.500 0.500 0.500
0.750 0.750 0.750
```

Computed properties:
SG: Fmmm, No. 69
Energy relative to the elements, uncorrected, eV/atom: -0.954
Final energy, eV per cell: -77.9
Crystal system: orthorhombic

***

[12]
Below is an optimized crystal structure of ZnSb3P, with properties calculated at the GGA-PBE level.

Structure (POSCAR):
```
ZnSb3P
1.0
5.232 0.000 0.000
0.000 5.232 0.000
0.000 0.000 5.232
Zn Sb P
1 3 1
direct
0.000 0.000 0.000
0.000 0.500 0.500
0.500 0.000 0.500
0.500 0.500 0.000
0.500 0.500 0.500
```

Computed properties:
SG: Pm-3m, No. 221
Energy relative to the elements, uncorrected, eV/atom: 0.660
Final energy, eV per cell: -15.8
Crystal system: cubic

***

One value per record, in order, for ρ: 4.41, 6.44, 7.24, 3.36, 7.83, 2.07, 9.06, 4.52, 5.24, 18.24, 8.72, 5.35 Mg/m³.